(1)
The following is a DFT calculation (PBE-GGA) of a relaxed Tl12GaAu7 crystal.

Unit cell a=5.8513 b=10.3895 c=10.3895 alpha=116.56 beta=100.82 gamma=100.82
Last column: nearest neighbours and their distance in Å.
Atoms (fractional coordinates):
Tl 0.0897 0.5894 0.1790  3 Tl 3.06-3.16, 2 Au 3.08
Tl 0.0892 0.1790 0.5896  3 Tl 3.06-3.16, 2 Au 3.08
Tl 0.5582 0.6720 0.0001  4 Au 3.01-3.14
Tl 0.4419 0.0001 0.3281  4 Au 3.01-3.14
Tl 0.4996 0.4104 0.5894  3 Tl 3.06-3.16, 2 Au 3.08
Tl 0.1138 0.6719 0.6720  4 Au 3.01-3.14
Tl 0.8862 0.3281 0.3280  4 Au 3.01-3.14
Tl 0.5004 0.5896 0.4106  3 Tl 3.06-3.16, 2 Au 3.08
Tl 0.5581 0.9999 0.6719  4 Au 3.01-3.14
Tl 0.4418 0.3280 0.9999  4 Au 3.01-3.14
Tl 0.9108 0.8210 0.4104  3 Tl 3.06-3.16, 2 Au 3.08
Tl 0.9103 0.4106 0.8210  3 Tl 3.06-3.16, 2 Au 3.08
Ga 0.0000 0.0000 0.0000  8 Au 2.67-2.93
Au 0.0960 0.7589 0.0001  1 Ga 2.67
Au 0.9042 0.0001 0.2413  1 Ga 2.67
Au 0.6629 0.7587 0.7589  1 Ga 2.67
Au 0.5000 0.0000 0.0000  2 Ga 2.93, 6 Au 3.11
Au 0.3371 0.2413 0.2411  1 Ga 2.67
Au 0.0958 0.9999 0.7587  1 Ga 2.67
Au 0.9040 0.2411 0.9999  1 Ga 2.67

Results
* space-group type: R-3m
* crystal system: trigonal
* magnetic moment: 0.00 μB/cell
* total energy: -2.7282 eV per atom
* energy of formation: -0.230 kcal/mol of atoms

(2)
The following is a DFT calculation (PBE-GGA) of a relaxed SrTaGeO6 crystal.

Unit cell a=5.2493 b=5.2493 c=10.7149 alpha=90.00 beta=90.00 gamma=120.00
Last column: nearest neighbours and their distance in Å.
Atoms (fractional coordinates):
Sr 0.0000 0.0000 0.0000  6 O 2.56
Sr 0.0000 0.0000 0.5000  6 O 2.56
Ta 0.6667 0.3333 0.2500  6 O 2.00
Ta 0.3333 0.6667 0.7500  6 O 2.00
Ge 0.3333 0.6667 0.2500  6 O 1.92
Ge 0.6667 0.3333 0.7500  6 O 1.92
O 0.6127 0.6243 0.1491  1 Ge 1.92, 1 Ta 2.00
O 0.0116 0.3873 0.1491  1 Ge 1.92, 1 Ta 2.00
O 0.3873 0.0116 0.6491  1 Ge 1.92, 1 Ta 2.00
O 0.9884 0.6127 0.8509  1 Ge 1.92, 1 Ta 2.00
O 0.3757 0.3873 0.3509  1 Ge 1.92, 1 Ta 2.00
O 0.0116 0.6243 0.3509  1 Ge 1.92, 1 Ta 2.00
O 0.6243 0.0116 0.8509  1 Ge 1.92, 1 Ta 2.00
O 0.6127 0.9884 0.3509  1 Ge 1.92, 1 Ta 2.00
O 0.9884 0.3757 0.6491  1 Ge 1.92, 1 Ta 2.00
O 0.3757 0.9884 0.1491  1 Ge 1.92, 1 Ta 2.00
O 0.6243 0.6127 0.6491  1 Ge 1.92, 1 Ta 2.00
O 0.3873 0.3757 0.8509  1 Ge 1.92, 1 Ta 2.00

Results
* formation energy (no corrections): -2.26 eV per atom
* space-group type: P-31c
* crystal system: trigonal
* magnetic moment: 2.16 μB/cell
* total energy: -7.5811 eV per atom

- The highest total energy belongs to which entry?
  Tl12GaAu7